Entry 1:
AgAuBr4 at its PBEsol-relaxed geometry. Source: Alexandria, functional SCAN.

Total energy (eV per atom): -28.85
Formation energy from raw total energies (meV/atom): 872
SG: F-43m

POSCAR file:
```
AgAuBr4
1.0
-4.3378 -3.2293 -2.5314
-3.0620 -3.9594 3.2558
-5.7093 1.0577 1.3920
Br Au Ag
4 1 1
Direct
0.8777 0.3741 0.3741 Br
0.3741 0.8777 0.3741 Br
0.3741 0.3741 0.3741 Br
0.3741 0.3741 0.8777 Br
0.0000 0.0000 0.0000 Au
0.7500 0.7500 0.7500 Ag
```


Entry 2:
Ba8LiTa7O24 at its PBEsol-relaxed geometry. Source: Alexandria, functional SCAN.

Total energy (eV per atom): -26.50
Formation energy from raw total energies (meV/atom): -3140
SG: P3m1

POSCAR file:
```
Ba8LiTa7O24
1.0
5.8208 0.0000 0.0000
-2.9104 5.0410 0.0000
0.0000 0.0000 18.9258
O Ta Li Ba
24 7 1 8
Direct
0.6778 0.8389 0.7500 O
0.1732 0.8268 0.1178 O
0.8306 0.6613 0.8756 O
0.6535 0.8268 0.1178 O
0.1732 0.3465 0.1178 O
0.8306 0.1694 0.8756 O
0.8314 0.1686 0.6229 O
0.4989 0.5011 0.5016 O
0.1678 0.8322 0.3804 O
0.1678 0.3356 0.3804 O
0.0008 0.5004 0.9949 O
0.8407 0.6814 0.2575 O
0.8407 0.1593 0.2575 O
0.3387 0.1694 0.8756 O
0.4989 0.9978 0.5016 O
0.6644 0.8322 0.3804 O
0.4996 0.5004 0.9949 O
0.3186 0.1593 0.2575 O
0.8314 0.6629 0.6229 O
0.0022 0.5011 0.5016 O
0.1611 0.3222 0.7500 O
0.1611 0.8389 0.7500 O
0.4996 0.9992 0.9949 O
0.3371 0.1686 0.6229 O
0.6667 0.3333 0.9391 Ta
0.3333 0.6667 0.4406 Ta
0.0000 0.0000 0.3112 Ta
0.0000 0.0000 0.6810 Ta
0.6667 0.3333 0.5612 Ta
0.0000 0.0000 0.8179 Ta
0.3333 0.6667 0.0642 Ta
0.0000 0.0000 0.1672 Li
0.3333 0.6667 0.2468 Ba
0.0000 0.0000 0.0054 Ba
0.0000 0.0000 0.4990 Ba
0.6667 0.3333 0.3669 Ba
0.3333 0.6667 0.6357 Ba
0.6667 0.3333 0.1451 Ba
0.6667 0.3333 0.7502 Ba
0.3333 0.6667 0.8671 Ba
```